Entry from the Alexandria database: Er2GaFe after structural relaxation (PBE).

Cell and atoms, written as extended XYZ:
```
4
Lattice="4.881 0.000 0.000 2.440 4.227 0.000 2.440 1.409 3.985" Properties=species:S:1:pos:R:3 pbc="T T T"
Er 7.321 4.227 2.989
Er 2.440 1.409 0.996
Ga 4.881 2.818 1.993
Fe 0.000 0.000 0.000
```

## Properties
N(E_F): 5.837 states/eV/cell
Energy above the most stable polymorph in this dataset: 0.15 eV/f.u.
Energy of formation: -0.83 eV per formula unit